# 1
Entry from Alexandria: crystalline MgAs2P at its relaxed geometry (PBE-GGA).

As for the final energy: -3.896 eV per atom. Its density is 4.6 Mg/m³. The energy above the most stable polymorph in this dataset is 336 meV per atom. The calculation puts the formation energy at 0.180 eV per atom. The size of the total moment comes out at 0.00 μB/cell.

a = 4.524 Å, b = 4.524 Å, c = 3.696 Å
α = 90.00°, β = 90.00°, γ = 103.41°
Positions (direct):
As (0.000, 0.000, 0.000)
As (0.500, 0.500, 0.000)
Mg (0.500, 0.000, 0.500)
P (0.000, 0.500, 0.500)


# 2
Entry from Alexandria: crystalline Mg3AsP at its relaxed geometry (PBE-GGA).

As for the final energy: -3.008 eV per atom. Its density is 2.5 Mg/m³. The energy above the most stable polymorph in this dataset is 537 meV per atom. The calculation puts the formation energy at -0.039 eV per atom. The size of the total moment comes out at 0.00 μB/cell.

a = 4.888 Å, b = 4.888 Å, c = 4.888 Å
α = 90.00°, β = 90.00°, γ = 90.00°
Positions (direct):
P (0.500, 0.500, 0.500)
As (0.000, 0.000, 0.000)
Mg (0.000, 0.500, 0.000)
Mg (0.000, 0.000, 0.500)
Mg (0.500, 0.000, 0.000)


# 3
Entry from Alexandria: crystalline Mg2AsP at its relaxed geometry (PBE-GGA).

As for the final energy: -3.510 eV per atom. Its density is 3.5 Mg/m³. The energy above the most stable polymorph in this dataset is 127 meV per atom. The calculation puts the formation energy at -0.198 eV per atom. The size of the total moment comes out at 0.00 μB/cell.

a = 3.158 Å, b = 3.158 Å, c = 7.398 Å
α = 90.00°, β = 90.00°, γ = 90.00°
Positions (direct):
As (0.500, 0.500, 0.750)
Mg (0.000, 0.000, 0.020)
Mg (0.000, 0.000, 0.480)
P (0.500, 0.500, 0.250)


# 4
Entry from Alexandria: crystalline MgAs2P at its relaxed geometry (PBE-GGA).

As for the final energy: -4.104 eV per atom. Its density is 4.4 Mg/m³. The energy above the most stable polymorph in this dataset is 128 meV per atom. The calculation puts the formation energy at -0.029 eV per atom. The size of the total moment comes out at 0.00 μB/cell.

a = 7.042 Å, b = 7.042 Å, c = 7.042 Å
α = 29.91°, β = 29.91°, γ = 29.91°
Positions (direct):
As (0.010, 0.010, 0.010)
As (0.490, 0.490, 0.490)
Mg (0.250, 0.250, 0.250)
P (0.750, 0.750, 0.750)